No. 1
PBE-GGA LiZnGaAu2, relaxed; E = -28.72 eV for the cell shown; energy relative to the elements = -318 meV/atom; ρ = 10.41 g/cm3
1.0
3.191 0.000 0.000
0.000 7.377 0.578
0.000 -2.464 7.074
Li Au Zn Ga
2 4 2 2
Direct
0.250 0.861 0.341
0.750 0.139 0.659
0.250 0.291 0.986
0.750 0.709 0.014
0.250 0.276 0.411
0.750 0.724 0.589
0.750 0.074 0.152
0.250 0.926 0.848
0.250 0.487 0.743
0.750 0.513 0.257



No. 2
PBE-GGA Li2ZnGa2Au2, relaxed; E = -20.37 eV for the cell shown; energy relative to the elements = -380 meV/atom; ρ = 9.05 g/cm3
1.0
-0.806 -4.342 0.096
2.962 -2.758 1.771
-2.206 -1.692 6.564
Au Li Ga Zn
2 2 2 1
Direct
0.728 0.728 0.815
0.272 0.272 0.185
0.138 0.138 0.585
0.862 0.862 0.415
0.425 0.425 0.724
0.575 0.575 0.276
0.000 0.000 0.000



No. 3
PBE-GGA Li2ZnGa2Au5, relaxed; E = -61.12 eV for the cell shown; energy relative to the elements = -302 meV/atom; ρ = 10.88 g/cm3
1.0
3.277 0.000 0.000
0.000 10.590 0.000
0.000 0.000 10.590
Au Ga Zn Li
10 4 2 4
Direct
0.500 0.807 0.948
0.500 0.000 0.500
0.500 0.693 0.448
0.500 0.052 0.807
0.500 0.500 0.000
0.500 0.448 0.307
0.500 0.552 0.693
0.500 0.948 0.193
0.500 0.307 0.552
0.500 0.193 0.052
0.000 0.138 0.638
0.000 0.862 0.362
0.000 0.362 0.138
0.000 0.638 0.862
0.000 0.500 0.500
0.000 0.000 0.000
0.000 0.835 0.665
0.000 0.665 0.165
0.000 0.165 0.335
0.000 0.335 0.835



No. 4
PBE-GGA Li3Zn2GaAu3, relaxed; E = -24.79 eV for the cell shown; energy relative to the elements = -404 meV/atom; ρ = 9.70 g/cm3
1.0
-0.156 -0.377 2.789
7.500 -0.795 0.311
-3.105 6.839 0.751
Li Au Ga Zn
3 3 1 2
Direct
0.500 0.310 0.310
0.500 0.000 0.690
0.500 0.690 0.000
0.000 0.000 0.358
0.000 0.642 0.642
0.000 0.358 0.000
0.000 0.000 0.000
0.500 0.333 0.667
0.500 0.667 0.333



No. 5
PBE-GGA Lu2GaAu, relaxed; E = -18.27 eV for the cell shown; energy relative to the elements = -731 meV/atom; ρ = 11.73 g/cm3
1.0
-1.150 0.127 -3.278
2.069 -2.667 -0.829
-5.290 -4.625 1.677
Ga Lu Au
1 2 1
Direct
0.500 0.500 0.000
0.000 0.000 0.253
0.000 0.000 0.747
0.500 0.500 0.500



No. 6
PBE-GGA NaLuGaAu, relaxed; E = -13.72 eV for the cell shown; energy relative to the elements = -393 meV/atom; ρ = 9.15 g/cm3
1.0
4.922 0.000 0.000
2.461 4.262 0.000
2.461 1.421 4.019
Ga Na Au Lu
1 1 1 1
Direct
0.500 0.500 0.500
0.750 0.750 0.750
0.000 0.000 0.000
0.250 0.250 0.250